! Pm3Lu | the Alexandria database | PBE | optimized geometry; values from VASP
! E above lowest polymorph: 3.9 kJ/mol of formula units
! ΔE_f: 26 meV/atom
&SYSTEM
  ibrav = 0, nat = 4, ntyp = 2
/
ATOMIC_SPECIES
Pm 145.00 Pm.upf
Lu 174.97 Lu.upf
ATOMIC_POSITIONS angstrom
Pm 0.000 0.000 0.000
Pm 1.833 2.935 -1.034
Pm 0.000 2.857 2.109
Lu 0.000 5.792 0.018
CELL_PARAMETERS angstrom
-1.833 5.792 3.143
1.833 -5.792 3.143
1.833 5.792 -3.143